Nd8GaSb2 | PBE-GGA | relaxed

a b c (Å): 4.952 7.364 10.027
angles (deg): 98.33 104.30 90.00
Sites, in units of the cell vectors:
Nd 0.341 0.970 0.682
Nd 0.989 0.231 0.978
Nd 0.406 0.502 0.812
Nd 0.594 0.498 0.188
Nd 0.783 0.650 0.567
Nd 0.217 0.350 0.433
Nd 0.011 0.769 0.022
Nd 0.659 0.030 0.318
Sb 0.179 0.770 0.358
Sb 0.821 0.230 0.642
Ga 0.500 0.000 0.000

Output
total magnetic moment = 0.00 μB per cell
theoretical density = 6.95 g cm⁻³
energy relative to the elements, uncorrected = -0.47 eV/atom